(1)
VASP calculation (PBE) on a relaxed structure of CsAg2F3.

Output
Energy above the most stable polymorph in this dataset, eV/f.u.: 0.000
Formation energy (no corrections), meV/atom: -1459

a = 6.8351 Å, b = 6.8351 Å, c = 5.8677 Å
α = 90.00°, β = 90.00°, γ = 81.39°
Fractional positions:
Cs1 0.1518 0.8482 0.7500
Cs2 0.8482 0.1518 0.2500
Ag1 0.3174 0.3174 0.0000
Ag2 0.3174 0.3174 0.5000
Ag3 0.6826 0.6826 0.0000
Ag4 0.6826 0.6826 0.5000
F1 0.0558 0.2941 0.7500
F2 0.2941 0.0558 0.2500
F3 0.4758 0.5242 0.7500
F4 0.5242 0.4758 0.2500
F5 0.7059 0.9442 0.7500
F6 0.9442 0.7059 0.2500

(2)
VASP calculation (PBE) on a relaxed structure of Sm5HPb2.

a = 6.7856 Å, b = 6.7856 Å, c = 6.7856 Å
α = 116.95°, β = 116.95°, γ = 95.36°
Fractional positions:
Sm1 0.0000 0.0000 0.0000
Sm2 0.0041 0.0041 0.4992
Sm3 0.0041 0.5049 0.0000
Sm4 0.5049 0.0041 0.0000
Sm5 0.5049 0.5049 0.5008
H1 0.7462 0.7462 0.0000
Pb1 0.0036 0.5036 0.5000
Pb2 0.5036 0.0036 0.5000

(3)
VASP calculation (PBE) on a relaxed structure of Cs2KHgCl6.

Output
Energy above the most stable polymorph in this dataset, eV/f.u.: 0.000
Formation energy (no corrections), meV/atom: -1315

a = 7.9163 Å, b = 7.9673 Å, c = 13.7024 Å
α = 90.00°, β = 124.88°, γ = 90.00°
Fractional positions:
Cs1 0.2384 0.0445 0.2485
Cs2 0.2384 0.4555 0.7485
Cs3 0.7616 0.5445 0.2515
Cs4 0.7616 0.9555 0.7515
K1 0.5000 0.0000 0.0000
K2 0.5000 0.5000 0.5000
Hg1 0.0000 0.0000 0.5000
Hg2 0.0000 0.5000 0.0000
Cl1 0.1592 0.2300 0.9693
Cl2 0.1592 0.2700 0.4693
Cl3 0.2327 0.6928 0.9663
Cl4 0.2327 0.8072 0.4663
Cl5 0.2903 0.0050 0.7294
Cl6 0.2903 0.4950 0.2294
Cl7 0.7097 0.5050 0.7706
Cl8 0.7097 0.9950 0.2706
Cl9 0.7673 0.1928 0.5337
Cl10 0.7673 0.3072 0.0337
Cl11 0.8408 0.7300 0.5307
Cl12 0.8408 0.7700 0.0307

(4)
VASP calculation (PBE) on a relaxed structure of TmGaCuRh.

Output
Formation enthalpy at 0 K, eV/f.u.: -2.1

a = 4.5463 Å, b = 4.5463 Å, c = 4.5463 Å
α = 60.00°, β = 60.00°, γ = 60.00°
Fractional positions:
Tm1 0.0000 0.0000 0.0000
Ga1 0.5000 0.5000 0.5000
Cu1 0.7500 0.7500 0.7500
Rh1 0.2500 0.2500 0.2500

(5)
VASP calculation (PBE) on a relaxed structure of AlCdNi4.

Output
Formation enthalpy at 0 K, eV/f.u.: -0.5

a = 4.8011 Å, b = 4.8011 Å, c = 4.8011 Å
α = 60.00°, β = 60.00°, γ = 60.00°
Fractional positions:
Al1 0.0000 0.0000 0.0000
Cd1 0.7500 0.7500 0.7500
Ni1 0.3746 0.3746 0.3746
Ni2 0.3746 0.3746 0.8764
Ni3 0.3746 0.8764 0.3746
Ni4 0.8764 0.3746 0.3746

(6)
VASP calculation (PBE) on a relaxed structure of BaCa2U2O7.

Output
Formation energy (no corrections), meV/atom: -2990

a = 10.2054 Å, b = 10.2054 Å, c = 10.2054 Å
α = 154.24°, β = 36.78°, γ = 154.20°
Fractional positions:
Ba1 0.0000 0.0000 0.0000
Ca1 0.2772 0.5277 0.7494
Ca2 0.7783 0.5277 0.2506
U1 0.4141 0.0264 0.3877
U2 0.6387 0.0264 0.6123
O1 0.1438 0.5278 0.6159
O2 0.2996 0.0277 0.2719
O3 0.4167 0.5319 0.8849
O4 0.5585 0.0585 0.5000
O5 0.6470 0.5319 0.1151
O6 0.7558 0.0277 0.7281
O7 0.9119 0.5278 0.3841

In the order shown, the computed spin magnetization values come out to 0.000 0.000 0.112 0.000 0.139 0.333 μB/atom.
In the order shown, the computed uncorrected energy values come out to -3.488 -4.582 -2.734 -5.268 -4.713 -8.257 eV/atom.